(1)
Computed, not measured: an optimized crystal structure of Pr4RuRh at the PBE level of DFT.

## Properties
Formation enthalpy at 0 K = -272 meV per atom
Crystal system = monoclinic
SG = C2/c, No. 15
Offset from the most stable computed form = 0.062 eV per atom

Structure (CIF):
```
data_Pr4RuRh
_cell_length_a 8.720
_cell_length_b 8.720
_cell_length_c 7.057
_cell_angle_alpha 107.42
_cell_angle_beta 107.42
_cell_angle_gamma 120.86
_space_group_name_H-M_alt 'P 1'
_space_group_IT_number 1
loop_
_space_group_symop_operation_xyz
'x,y,z'
loop_
_atom_site_label
_atom_site_type_symbol
_atom_site_fract_x
_atom_site_fract_y
_atom_site_fract_z
_atom_site_occupancy
Pr1 Pr 0.022 0.429 0.223 1
Pr2 Pr 0.204 0.300 0.748 1
Pr3 Pr 0.300 0.204 0.248 1
Pr4 Pr 0.429 0.022 0.723 1
Pr5 Pr 0.571 0.978 0.277 1
Pr6 Pr 0.700 0.796 0.752 1
Pr7 Pr 0.796 0.700 0.252 1
Pr8 Pr 0.978 0.571 0.777 1
Ru1 Ru 0.088 0.912 0.750 1
Ru2 Ru 0.912 0.088 0.250 1
Rh1 Rh 0.407 0.593 0.250 1
Rh2 Rh 0.593 0.407 0.750 1
```

(2)
Computed, not measured: an optimized crystal structure of SmP2 at the PBE level of DFT.

## Properties
Formation enthalpy at 0 K = -1044 meV per atom
Crystal system = monoclinic
SG = P2_1/c, No. 14

Structure (CIF):
```
data_SmP2
_cell_length_a 3.962
_cell_length_b 6.523
_cell_length_c 10.052
_cell_angle_alpha 90.00
_cell_angle_beta 105.64
_cell_angle_gamma 90.00
_space_group_name_H-M_alt 'P 1'
_space_group_IT_number 1
loop_
_space_group_symop_operation_xyz
'x,y,z'
loop_
_atom_site_label
_atom_site_type_symbol
_atom_site_fract_x
_atom_site_fract_y
_atom_site_fract_z
_atom_site_occupancy
Sm1 Sm 0.081 0.185 0.358 1
Sm2 Sm 0.081 0.315 0.858 1
Sm3 Sm 0.919 0.685 0.142 1
Sm4 Sm 0.919 0.815 0.642 1
P1 P 0.297 0.621 0.454 1
P2 P 0.297 0.879 0.954 1
P3 P 0.464 0.158 0.663 1
P4 P 0.464 0.342 0.163 1
P5 P 0.536 0.658 0.837 1
P6 P 0.536 0.842 0.337 1
P7 P 0.703 0.121 0.046 1
P8 P 0.703 0.379 0.546 1
```

(3)
Computed, not measured: an optimized crystal structure of Rb4Sc3PaTe8 at the PBE level of DFT.

## Properties
Raw formation energy = -1.1447 eV per atom
Crystal system = trigonal
SG = R-3m, No. 166

Structure (CIF):
```
data_Rb4Sc3PaTe8
_cell_length_a 9.947
_cell_length_b 9.947
_cell_length_c 9.947
_cell_angle_alpha 52.21
_cell_angle_beta 52.21
_cell_angle_gamma 52.21
_space_group_name_H-M_alt 'P 1'
_space_group_IT_number 1
loop_
_space_group_symop_operation_xyz
'x,y,z'
loop_
_atom_site_label
_atom_site_type_symbol
_atom_site_fract_x
_atom_site_fract_y
_atom_site_fract_z
_atom_site_occupancy
Rb1 Rb 0.000 0.000 0.000 1
Rb2 Rb 0.000 0.500 0.500 1
Rb3 Rb 0.500 0.000 0.500 1
Rb4 Rb 0.500 0.500 0.000 1
Sc1 Sc 0.000 0.000 0.500 1
Sc2 Sc 0.000 0.500 0.000 1
Sc3 Sc 0.500 0.000 0.000 1
Pa1 Pa 0.500 0.500 0.500 1
Te1 Te 0.222 0.737 0.737 1
Te2 Te 0.229 0.229 0.229 1
Te3 Te 0.263 0.263 0.778 1
Te4 Te 0.263 0.778 0.263 1
Te5 Te 0.737 0.222 0.737 1
Te6 Te 0.737 0.737 0.222 1
Te7 Te 0.771 0.771 0.771 1
Te8 Te 0.778 0.263 0.263 1
```

(4)
Computed, not measured: an optimized crystal structure of GdMgGa4 at the PBE level of DFT.

## Properties
Formation enthalpy at 0 K = -297 meV per atom
Crystal system = cubic
SG = F-43m, No. 216

Structure (CIF):
```
data_GdMgGa4
_cell_length_a 5.513
_cell_length_b 5.513
_cell_length_c 5.513
_cell_angle_alpha 60.00
_cell_angle_beta 60.00
_cell_angle_gamma 60.00
_space_group_name_H-M_alt 'P 1'
_space_group_IT_number 1
loop_
_space_group_symop_operation_xyz
'x,y,z'
loop_
_atom_site_label
_atom_site_type_symbol
_atom_site_fract_x
_atom_site_fract_y
_atom_site_fract_z
_atom_site_occupancy
Gd1 Gd 0.000 0.000 0.000 1
Mg1 Mg 0.750 0.750 0.750 1
Ga1 Ga 0.375 0.375 0.375 1
Ga2 Ga 0.375 0.375 0.876 1
Ga3 Ga 0.375 0.876 0.375 1
Ga4 Ga 0.876 0.375 0.375 1
```

(5)
Computed, not measured: an optimized crystal structure of Fe2AgCl at the PBE level of DFT.

## Properties
Raw formation energy = 0.3805 eV per atom
Crystal system = trigonal
SG = R-3m, No. 166
Offset from the most stable computed form = 0.221 eV per atom

Structure (CIF):
```
data_Fe2AgCl
_cell_length_a 8.430
_cell_length_b 8.430
_cell_length_c 8.430
_cell_angle_alpha 19.85
_cell_angle_beta 19.85
_cell_angle_gamma 19.85
_space_group_name_H-M_alt 'P 1'
_space_group_IT_number 1
loop_
_space_group_symop_operation_xyz
'x,y,z'
loop_
_atom_site_label
_atom_site_type_symbol
_atom_site_fract_x
_atom_site_fract_y
_atom_site_fract_z
_atom_site_occupancy
Fe1 Fe 0.243 0.243 0.243 1
Fe2 Fe 0.757 0.757 0.757 1
Ag1 Ag 0.000 0.000 0.000 1
Cl1 Cl 0.500 0.500 0.500 1
```

(6)
Computed, not measured: an optimized crystal structure of SrNbS2 at the PBE level of DFT.

## Properties
Raw formation energy = -0.7981 eV per atom
Crystal system = trigonal
SG = R-3m, No. 166
Offset from the most stable computed form = 0.147 eV per atom

Structure (CIF):
```
data_SrNbS2
_cell_length_a 9.055
_cell_length_b 9.055
_cell_length_c 9.055
_cell_angle_alpha 22.96
_cell_angle_beta 22.96
_cell_angle_gamma 22.96
_space_group_name_H-M_alt 'P 1'
_space_group_IT_number 1
loop_
_space_group_symop_operation_xyz
'x,y,z'
loop_
_atom_site_label
_atom_site_type_symbol
_atom_site_fract_x
_atom_site_fract_y
_atom_site_fract_z
_atom_site_occupancy
Sr1 Sr 0.000 0.000 0.000 1
Nb1 Nb 0.500 0.500 0.500 1
S1 S 0.111 0.111 0.111 1
S2 S 0.889 0.889 0.889 1
```

(7)
Computed, not measured: an optimized crystal structure of DyGaAgAu at the PBE level of DFT.

## Properties
Formation enthalpy at 0 K = -497 meV per atom
Crystal system = cubic
SG = F-43m, No. 216

Structure (CIF):
```
data_DyGaAgAu
_cell_length_a 4.832
_cell_length_b 4.832
_cell_length_c 4.832
_cell_angle_alpha 60.00
_cell_angle_beta 60.00
_cell_angle_gamma 60.00
_space_group_name_H-M_alt 'P 1'
_space_group_IT_number 1
loop_
_space_group_symop_operation_xyz
'x,y,z'
loop_
_atom_site_label
_atom_site_type_symbol
_atom_site_fract_x
_atom_site_fract_y
_atom_site_fract_z
_atom_site_occupancy
Dy1 Dy 0.000 0.000 0.000 1
Ga1 Ga 0.500 0.500 0.500 1
Ag1 Ag 0.250 0.250 0.250 1
Au1 Au 0.750 0.750 0.750 1
```

(8)
Computed, not measured: an optimized crystal structure of CaOs2Se at the PBE level of DFT.

## Properties
Raw formation energy = 0.9479 eV per atom
Crystal system = orthorhombic
SG = Cmmm, No. 65

Structure (CIF):
```
data_CaOs2Se
_cell_length_a 2.885
_cell_length_b 2.885
_cell_length_c 9.244
_cell_angle_alpha 90.00
_cell_angle_beta 90.00
_cell_angle_gamma 116.08
_space_group_name_H-M_alt 'P 1'
_space_group_IT_number 1
loop_
_space_group_symop_operation_xyz
'x,y,z'
loop_
_atom_site_label
_atom_site_type_symbol
_atom_site_fract_x
_atom_site_fract_y
_atom_site_fract_z
_atom_site_occupancy
Ca1 Ca 0.000 0.000 0.000 1
Os1 Os 0.500 0.500 0.266 1
Os2 Os 0.500 0.500 0.734 1
Se1 Se 0.000 0.000 0.500 1
```

(9)
Computed, not measured: an optimized crystal structure of DyHfMgAl at the PBE level of DFT.

## Properties
Formation enthalpy at 0 K = -115 meV per atom
Crystal system = cubic
SG = F-43m, No. 216

Structure (CIF):
```
data_DyHfMgAl
_cell_length_a 4.991
_cell_length_b 4.991
_cell_length_c 4.991
_cell_angle_alpha 60.00
_cell_angle_beta 60.00
_cell_angle_gamma 60.00
_space_group_name_H-M_alt 'P 1'
_space_group_IT_number 1
loop_
_space_group_symop_operation_xyz
'x,y,z'
loop_
_atom_site_label
_atom_site_type_symbol
_atom_site_fract_x
_atom_site_fract_y
_atom_site_fract_z
_atom_site_occupancy
Dy1 Dy 0.000 0.000 0.000 1
Hf1 Hf 0.500 0.500 0.500 1
Mg1 Mg 0.250 0.250 0.250 1
Al1 Al 0.750 0.750 0.750 1
```

(10)
Computed, not measured: an optimized crystal structure of InReTe2Se at the PBE level of DFT.

## Properties
Raw formation energy = 1.0241 eV per atom
Crystal system = tetragonal
SG = P4/mmm, No. 123

Structure (CIF):
```
data_InReTe2Se
_cell_length_a 5.793
_cell_length_b 5.793
_cell_length_c 4.647
_cell_angle_alpha 90.00
_cell_angle_beta 90.00
_cell_angle_gamma 90.00
_space_group_name_H-M_alt 'P 1'
_space_group_IT_number 1
loop_
_space_group_symop_operation_xyz
'x,y,z'
loop_
_atom_site_label
_atom_site_type_symbol
_atom_site_fract_x
_atom_site_fract_y
_atom_site_fract_z
_atom_site_occupancy
In1 In 0.000 0.000 0.000 1
Re1 Re 0.500 0.500 0.000 1
Te1 Te 0.000 0.500 0.500 1
Te2 Te 0.500 0.000 0.500 1
Se1 Se 0.500 0.500 0.500 1
```

| no. | raw total energy (eV/f.u.) | spin magnetization (μB per cell) |
| --- | --- | --- |
| 1 | -37.38 | 0.00 |
| 2 | -18.67 | 0.00 |
| 3 | -75.81 | 1.97 |
| 4 | -29.56 | 7.52 |
| 5 | -20.10 | 5.78 |
| 6 | -23.20 | 0.00 |
| 7 | -15.75 | 0.00 |
| 8 | -24.15 | 0.00 |
| 9 | -20.35 | 0.00 |
| 10 | -19.83 | 2.74 |